(1)
SrSmCoN2 | PBE-GGA | optimized geometry

Properties
raw formation energy	-0.6280	eV/atom
D(E_F)	2.361	states/eV per cell

abc: 5.101 5.573 6.872
angles: 90.15 90.00 90.00
Site moments in Bohr magnetons follow the coordinates.
Atoms (fractional coordinates):
Sr (0.002, 0.500, 0.750)  0.01
Sr (0.998, 0.500, 0.250)  0.01
Sm (0.500, 0.000, 0.250)  0.03
Sm (0.500, 0.000, 0.750)  0.03
Co (0.000, 0.000, 0.000)  1.58
Co (0.000, 0.000, 0.500)  1.58
N (0.739, 0.783, 0.000)  0.14
N (0.739, 0.217, 0.500)  0.14
N (0.261, 0.783, 0.500)  0.14
N (0.261, 0.217, 0.000)  0.14

---

(2)
SmTa2CoN4 | PBE-GGA | optimized geometry

Properties
raw formation energy	-1.0164	eV/atom
D(E_F)	4.574	states/eV per cell

abc: 3.161 5.578 10.831
angles: 90.00 90.00 106.46
Atoms (fractional coordinates):
Sm (0.109, 0.219, 0.750)
Sm (0.891, 0.781, 0.250)
Ta (0.369, 0.739, 0.559)
Ta (0.631, 0.261, 0.059)
Ta (0.631, 0.261, 0.441)
Ta (0.369, 0.739, 0.941)
Co (0.843, 0.685, 0.750)
Co (0.157, 0.315, 0.250)
N (0.271, 0.542, 0.109)
N (0.729, 0.458, 0.609)
N (0.729, 0.458, 0.891)
N (0.271, 0.542, 0.391)
N (0.000, 0.000, 0.500)
N (0.000, 0.000, 0.000)
N (0.446, 0.891, 0.750)
N (0.554, 0.109, 0.250)

---

(3)
SmTh2CoN4 | PBE-GGA | optimized geometry

Properties
raw formation energy	-1.1428	eV/atom
D(E_F)	6.538	states/eV per cell

abc: 3.571 6.137 11.860
angles: 90.00 90.00 106.91
Site moments in Bohr magnetons follow the coordinates.
Atoms (fractional coordinates):
Sm (0.105, 0.209, 0.750)  -0.02
Sm (0.895, 0.791, 0.250)  -0.02
Th (0.368, 0.736, 0.559)  0.01
Th (0.632, 0.264, 0.059)  0.01
Th (0.632, 0.264, 0.441)  0.01
Th (0.368, 0.736, 0.941)  0.01
Co (0.842, 0.684, 0.750)  1.61
Co (0.158, 0.316, 0.250)  1.61
N (0.268, 0.537, 0.123)  0.08
N (0.732, 0.463, 0.623)  0.08
N (0.732, 0.463, 0.877)  0.08
N (0.268, 0.537, 0.377)  0.08
N (0.000, 0.000, 0.500)  0.03
N (0.000, 0.000, 0.000)  0.03
N (0.452, 0.904, 0.750)  0.08
N (0.548, 0.096, 0.250)  0.08

---

(4)
SmTi2CoN4 | PBE-GGA | optimized geometry

Properties
raw formation energy	-1.1579	eV/atom
D(E_F)	8.112	states/eV per cell

abc: 3.131 5.538 10.557
angles: 90.00 90.00 106.42
Site moments in Bohr magnetons follow the coordinates.
Atoms (fractional coordinates):
Sm (0.106, 0.213, 0.750)  0.01
Sm (0.894, 0.787, 0.250)  0.01
Ti (0.368, 0.736, 0.548)  -0.02
Ti (0.632, 0.264, 0.048)  -0.02
Ti (0.632, 0.264, 0.452)  -0.02
Ti (0.368, 0.736, 0.952)  -0.02
Co (0.842, 0.685, 0.750)  0.67
Co (0.158, 0.315, 0.250)  0.67
N (0.268, 0.535, 0.110)  0.04
N (0.732, 0.465, 0.610)  0.04
N (0.732, 0.465, 0.890)  0.04
N (0.268, 0.535, 0.390)  0.04
N (0.000, 0.000, 0.500)  0.02
N (0.000, 0.000, 0.000)  0.02
N (0.436, 0.873, 0.750)  0.05
N (0.564, 0.127, 0.250)  0.05

---

(5)
Sm2CoWN5 | PBE-GGA | optimized geometry

Properties
raw formation energy	-0.6891	eV/atom
D(E_F)	7.327	states/eV per cell

abc: 3.214 7.256 9.924
angles: 90.00 90.00 102.79
Atoms (fractional coordinates):
Sm (0.879, 0.758, 0.820)
Sm (0.117, 0.234, 0.696)
Sm (0.121, 0.242, 0.320)
Sm (0.883, 0.766, 0.196)
Co (0.554, 0.107, 0.951)
Co (0.446, 0.893, 0.451)
W (0.794, 0.588, 0.521)
W (0.206, 0.412, 0.021)
N (0.336, 0.671, 0.007)
N (0.682, 0.363, 0.878)
N (0.502, 0.004, 0.779)
N (0.303, 0.606, 0.657)
N (0.973, 0.947, 0.515)
N (0.664, 0.329, 0.507)
N (0.318, 0.637, 0.378)
N (0.498, 0.996, 0.279)
N (0.697, 0.394, 0.157)
N (0.027, 0.053, 0.015)

---

(6)
SmZr2CoN4 | PBE-GGA | optimized geometry

Properties
raw formation energy	-1.2532	eV/atom
D(E_F)	6.180	states/eV per cell

abc: 3.250 5.765 11.105
angles: 90.00 90.00 106.37
Site moments in Bohr magnetons follow the coordinates.
Atoms (fractional coordinates):
Sm (0.108, 0.216, 0.750)  0.00
Sm (0.892, 0.784, 0.250)  0.00
Zr (0.368, 0.736, 0.554)  -0.02
Zr (0.632, 0.264, 0.054)  -0.02
Zr (0.632, 0.264, 0.446)  -0.02
Zr (0.368, 0.736, 0.946)  -0.02
Co (0.845, 0.689, 0.750)  0.78
Co (0.155, 0.311, 0.250)  0.78
N (0.269, 0.538, 0.117)  0.04
N (0.731, 0.462, 0.617)  0.04
N (0.731, 0.462, 0.883)  0.04
N (0.269, 0.538, 0.383)  0.04
N (0.000, 0.000, 0.500)  0.02
N (0.000, 0.000, 0.000)  0.02
N (0.441, 0.882, 0.750)  0.05
N (0.559, 0.118, 0.250)  0.05